Entry 1:
CdSi2Os, relaxed, DFT PBE; E_form (uncorrected) = 0.5574 eV/atom; M_tot = 0.00 μB/cell
1.0
-1.950 1.950 4.045
1.950 -1.950 4.045
1.950 1.950 -4.045
Cd Si Os
1 2 1
direct
0.000 0.000 0.000 Cd
0.500 0.500 0.000 Si
0.750 0.250 0.500 Si
0.250 0.750 0.500 Os


Entry 2:
CuHg2Os, relaxed, DFT PBE; energy relative to the elements = 0.716 eV per atom; M_tot = 1.15 μB/cell
1.0
2.922 0.000 0.000
0.000 2.922 0.000
0.000 0.000 8.058
Cu Hg Os
1 2 1
direct
0.000 0.000 0.000 Cu
0.500 0.500 0.241 Hg
0.500 0.500 0.759 Hg
0.000 0.000 0.500 Os


Entry 3:
CdGe2Se6, relaxed, DFT PBE; E_form (uncorrected) = -0.1090 eV/atom; M_tot = 0.00 μB/cell
1.0
6.914 -5.914 0.000
6.914 5.914 0.000
-1.949 0.000 5.994
Cd Ge Se
2 4 12
direct
0.177 0.823 0.750 Cd
0.823 0.177 0.250 Cd
0.209 0.383 0.770 Ge
0.383 0.209 0.270 Ge
0.617 0.791 0.730 Ge
0.791 0.617 0.230 Ge
0.034 0.197 0.680 Se
0.086 0.626 0.933 Se
0.197 0.034 0.180 Se
0.294 0.450 0.480 Se
0.374 0.914 0.567 Se
0.450 0.294 0.980 Se
0.550 0.706 0.020 Se
0.626 0.086 0.433 Se
0.706 0.550 0.520 Se
0.803 0.966 0.820 Se
0.914 0.374 0.067 Se
0.966 0.803 0.320 Se


Entry 4:
CsHo2Ni2, relaxed, DFT PBE; energy relative to the elements = -0.099 eV per atom; M_tot = 0.00 μB/cell
1.0
4.040 0.000 0.000
0.000 3.754 0.000
-1.983 0.000 9.936
Cs Ho Ni
1 2 2
direct
0.000 0.000 0.000 Cs
0.319 0.500 0.642 Ho
0.681 0.500 0.358 Ho
0.215 0.000 0.428 Ni
0.785 0.000 0.572 Ni


What is the M_tot in the fourth record? 0.00 μB/cell


What did the second record say?
CuHg2Os, relaxed, DFT PBE; energy relative to the elements = 0.716 eV per atom; M_tot = 1.15 μB/cell
1.0
2.922 0.000 0.000
0.000 2.922 0.000
0.000 0.000 8.058
Cu Hg Os
1 2 1
direct
0.000 0.000 0.000 Cu
0.500 0.500 0.241 Hg
0.500 0.500 0.759 Hg
0.000 0.000 0.500 Os


What is the formula in the third record? CdGe2Se6